--- i ---
This record from the Alexandria database describes an optimized crystal structure of HfBeH3. The functional is PBE.

Properties
Total magnetization: 0.00 μB/cell

Unit cell a=3.2843 b=3.2843 c=3.2843 alpha=90.00 beta=90.00 gamma=90.00
Last column: nearest neighbours and their distance in Å.
Space group Pm-3m (No. 221)
Asymmetric unit:
Hf 0.0000 0.0000 0.0000 x1  12 H 2.32
Be 0.5000 0.5000 0.5000 x1  6 H 1.64
H 0.0000 0.5000 0.5000 x3  2 Be 1.64



--- ii ---
This record from the Alexandria database describes an optimized crystal structure of HfBeH3. The functional is PBE.

Properties
Total magnetization: 0.00 μB/cell

Unit cell a=3.6841 b=3.6841 c=3.6841 alpha=90.00 beta=90.00 gamma=90.00
Last column: nearest neighbours and their distance in Å.
Space group Pm-3m (No. 221)
Asymmetric unit:
Hf 0.0000 0.0000 0.0000 x1  6 H 1.84
Be 0.5000 0.5000 0.5000 x1  12 H 2.61
H 0.0000 0.0000 0.5000 x3  2 Hf 1.84



Result of the stability comparison: ii is the least stable of them.



--- i ---
This record from the Alexandria database describes an optimized crystal structure of HfBe3H. The functional is PBE.

Properties
Total magnetization: 0.00 μB/cell

Unit cell a=3.6887 b=3.6887 c=3.6887 alpha=90.00 beta=90.00 gamma=90.00
Last column: nearest neighbours and their distance in Å.
Space group Pm-3m (No. 221)
Asymmetric unit:
Hf 0.0000 0.0000 0.0000 x1  12 Be 2.61
Be 0.0000 0.5000 0.5000 x3  2 H 1.84
H 0.5000 0.5000 0.5000 x1  6 Be 1.84



--- ii ---
This record from the Alexandria database describes an optimized crystal structure of HfBe3H. The functional is PBE.

Properties
Total magnetization: 0.22 μB/cell

Unit cell a=5.0563 b=5.0563 c=5.0563 alpha=90.00 beta=90.00 gamma=90.00
Last column: nearest neighbours and their distance in Å.
Space group Pm-3m (No. 221)
Asymmetric unit:
Hf 0.0000 0.0000 0.0000 x1  6 Be 2.53
Be 0.0000 0.0000 0.5000 x3  2 Hf 2.53
H 0.5000 0.5000 0.5000 x1  12 Be 3.58



Result of the stability comparison: ii is the least stable of them.